1.
The following is a PBE calculation of a relaxed structure of CaMoAs2, from Alexandria via LeMat-Bulk.

a b c (Å): 7.2301 7.2301 7.2301
angles (deg): 29.72 29.72 29.72
Fractional coordinates of all 4 atoms:
1 As 0.0120 0.0120 0.0120
2 As 0.4880 0.4880 0.4880
3 Mo 0.7500 0.7500 0.7500
4 Ca 0.2500 0.2500 0.2500

Summary:
ΔH_f (0 K) (eV/atom): -0.48
ΔE to the lowest computed polymorph (eV/f.u.): 0.00
M_tot (μB/cell): 0.0


2.
The following is a PBE calculation of a relaxed structure of CaMoAs, from Alexandria via LeMat-Bulk.

a b c (Å): 5.9546 5.9546 3.3677
angles (deg): 73.57 73.58 32.85
Fractional coordinates of all 3 atoms:
1 As 0.0385 0.0385 0.9615
2 Ca 0.3324 0.3324 0.6676
3 Mo 0.6291 0.6291 0.3709

Summary:
ΔH_f (0 K) (eV/atom): -0.18
M_tot (μB/cell): 0.0


3.
The following is a PBE calculation of a relaxed structure of CaMo2As, from Alexandria via LeMat-Bulk.

a b c (Å): 5.4865 5.4865 2.7849
angles (deg): 90.00 90.00 119.53
Fractional coordinates of all 4 atoms:
1 As 0.5000 0.0000 0.5000
2 Mo 0.0000 0.0000 0.0000
3 Mo 0.5000 0.5000 0.0000
4 Ca 0.0000 0.5000 0.5000

Summary:
ΔH_f (0 K) (eV/atom): 0.63
M_tot (μB/cell): 0.0


4.
The following is a PBE calculation of a relaxed structure of CaMoAs, from Alexandria via LeMat-Bulk.

a b c (Å): 3.9759 3.9759 7.9486
angles (deg): 90.00 90.00 90.00
Fractional coordinates of all 6 atoms:
1 Ca 0.5000 0.0000 0.1538
2 Ca 0.0000 0.5000 0.8462
3 Mo 0.0000 0.0000 0.5000
4 Mo 0.5000 0.5000 0.5000
5 As 0.5000 0.0000 0.7210
6 As 0.0000 0.5000 0.2790

Summary:
ΔH_f (0 K) (eV/atom): -0.47
M_tot (μB/cell): 0.0


5.
The following is a PBE calculation of a relaxed structure of CaMo2As, from Alexandria via LeMat-Bulk.

a b c (Å): 6.1213 6.1213 6.1213
angles (deg): 153.48 132.57 55.16
Fractional coordinates of all 4 atoms:
1 Ca 0.7500 0.2500 0.5000
2 Mo 0.0440 0.0440 0.0000
3 Mo 0.4560 0.4560 0.0000
4 As 0.2500 0.7500 0.5000

Summary:
ΔH_f (0 K) (eV/atom): 0.31
M_tot (μB/cell): 0.0


6.
The following is a PBE calculation of a relaxed structure of CaMo2As, from Alexandria via LeMat-Bulk.

a b c (Å): 2.9596 2.9596 9.0015
angles (deg): 90.00 90.00 108.94
Fractional coordinates of all 4 atoms:
1 Mo 0.0000 0.0000 0.4589
2 Mo 0.0000 0.0000 0.0411
3 Ca 0.5000 0.5000 0.7500
4 As 0.5000 0.5000 0.2500

Summary:
ΔH_f (0 K) (eV/atom): 0.50
M_tot (μB/cell): 0.0


7.
The following is a PBE calculation of a relaxed structure of CaMo2As, from Alexandria via LeMat-Bulk.

a b c (Å): 5.7498 5.7498 3.1207
angles (deg): 74.42 74.42 121.60
Fractional coordinates of all 4 atoms:
1 As 0.5000 0.0000 0.5000
2 Ca 0.0000 0.5000 0.5000
3 Mo 0.5000 0.5000 0.0000
4 Mo 0.0000 0.0000 0.0000

Summary:
ΔH_f (0 K) (eV/atom): 0.47
M_tot (μB/cell): 0.0


8.
The following is a PBE calculation of a relaxed structure of CaMo4As, from Alexandria via LeMat-Bulk.

a b c (Å): 5.3814 5.3814 5.3814
angles (deg): 60.00 60.00 60.00
Fractional coordinates of all 6 atoms:
1 Ca 0.0000 0.0000 0.0000
2 Mo 0.3761 0.3761 0.3761
3 Mo 0.8718 0.3761 0.3761
4 Mo 0.3761 0.8718 0.3761
5 Mo 0.3761 0.3761 0.8718
6 As 0.7500 0.7500 0.7500

Summary:
ΔH_f (0 K) (eV/atom): 0.52
M_tot (μB/cell): 0.0


9.
The following is a PBE calculation of a relaxed structure of CaMo2As, from Alexandria via LeMat-Bulk.

a b c (Å): 3.2968 3.2968 7.1430
angles (deg): 90.00 90.00 90.00
Fractional coordinates of all 4 atoms:
1 As 0.0000 0.0000 0.4470
2 Ca 0.5000 0.5000 0.7427
3 Mo 0.5000 0.5000 0.2472
4 Mo 0.0000 0.0000 0.0631

Summary:
ΔH_f (0 K) (eV/atom): 0.01
M_tot (μB/cell): 0.0


10.
The following is a PBE calculation of a relaxed structure of Ca2MoAs, from Alexandria via LeMat-Bulk.

a b c (Å): 5.5311 5.5311 5.5311
angles (deg): 133.55 133.55 67.80
Fractional coordinates of all 4 atoms:
1 Ca 0.2500 0.7500 0.5000
2 Ca 0.0000 0.0000 0.0000
3 Mo 0.5000 0.5000 0.0000
4 As 0.7500 0.2500 0.5000

Summary:
ΔH_f (0 K) (eV/atom): 0.29
M_tot (μB/cell): 0.0


11.
The following is a PBE calculation of a relaxed structure of CaMo2As, from Alexandria via LeMat-Bulk.

a b c (Å): 4.0739 4.0739 10.2567
angles (deg): 78.55 78.55 90.00
Fractional coordinates of all 8 atoms:
1 Ca 0.5000 0.5000 0.0000
2 Ca 0.2500 0.7500 0.5000
3 As 0.7500 0.2500 0.5000
4 As 0.0000 0.0000 0.0000
5 Mo 0.0455 0.6250 0.2500
6 Mo 0.3750 0.2955 0.7500
7 Mo 0.8750 0.9545 0.7500
8 Mo 0.7045 0.1250 0.2500

Summary:
ΔH_f (0 K) (eV/atom): 0.40
M_tot (μB/cell): 0.0


12.
The following is a PBE calculation of a relaxed structure of CaMoAs2, from Alexandria via LeMat-Bulk.

a b c (Å): 4.8439 3.5748 5.2560
angles (deg): 70.15 90.00 90.00
Fractional coordinates of all 4 atoms:
1 Mo 0.5000 0.8616 0.9020
2 As 0.0000 0.8729 0.8793
3 As 0.5000 0.1716 0.2822
4 Ca 0.0000 0.5940 0.4366

Summary:
ΔH_f (0 K) (eV/atom): -0.31
ΔE to the lowest computed polymorph (eV/f.u.): 0.71
M_tot (μB/cell): 0.0


13.
The following is a PBE calculation of a relaxed structure of CaMoAs, from Alexandria via LeMat-Bulk.

a b c (Å): 4.8539 4.8539 4.8539
angles (deg): 60.00 60.00 60.00
Each line ends with the local moment (μB).
Fractional coordinates of all 3 atoms:
1 As 0.5000 0.5000 0.5000  -0.03
2 Mo 0.0000 0.0000 0.0000  3.64
3 Ca 0.7500 0.7500 0.7500  0.18

Summary:
ΔH_f (0 K) (eV/atom): 0.98
M_tot (μB/cell): 4.8


14.
The following is a PBE calculation of a relaxed structure of Ca2MoAs, from Alexandria via LeMat-Bulk.

a b c (Å): 4.2226 4.6795 4.6795
angles (deg): 90.00 90.00 90.00
Each line ends with the local moment (μB).
Fractional coordinates of all 4 atoms:
1 As 0.5000 0.0000 0.5000  -0.01
2 Mo 0.5000 0.5000 0.0000  2.38
3 Ca 0.0000 0.0000 0.0000  0.02
4 Ca 0.0000 0.5000 0.5000  0.02

Summary:
ΔH_f (0 K) (eV/atom): 0.19
M_tot (μB/cell): 3.0


15.
The following is a PBE calculation of a relaxed structure of CaMo3As, from Alexandria via LeMat-Bulk.

a b c (Å): 4.6727 4.6727 4.6727
angles (deg): 90.00 90.00 90.00
Fractional coordinates of all 5 atoms:
1 Ca 0.0000 0.0000 0.0000
2 Mo 0.0000 0.5000 0.0000
3 Mo 0.0000 0.0000 0.5000
4 Mo 0.5000 0.0000 0.0000
5 As 0.5000 0.5000 0.5000

Summary:
ΔH_f (0 K) (eV/atom): 2.67
ΔE to the lowest computed polymorph (eV/f.u.): 8.84
M_tot (μB/cell): 0.0


16.
The following is a PBE calculation of a relaxed structure of CaMoAs2, from Alexandria via LeMat-Bulk.

a b c (Å): 3.4701 3.4701 6.8566
angles (deg): 90.00 90.00 90.00
Fractional coordinates of all 4 atoms:
1 Ca 0.0000 0.0000 0.4863
2 As 0.5000 0.5000 0.2246
3 As 0.0000 0.0000 0.9434
4 Mo 0.5000 0.5000 0.8456

Summary:
ΔH_f (0 K) (eV/atom): -0.15
ΔE to the lowest computed polymorph (eV/f.u.): 1.32
M_tot (μB/cell): 0.0


17.
The following is a PBE calculation of a relaxed structure of Ca2MoAs, from Alexandria via LeMat-Bulk.

a b c (Å): 5.5819 5.5819 3.0017
angles (deg): 90.00 90.00 112.39
Fractional coordinates of all 4 atoms:
1 Ca 0.5000 0.5000 0.0000
2 Ca 0.0000 0.0000 0.0000
3 As 0.0000 0.5000 0.5000
4 Mo 0.5000 0.0000 0.5000

Summary:
ΔH_f (0 K) (eV/atom): 0.23
M_tot (μB/cell): 0.0


18.
The following is a PBE calculation of a relaxed structure of CaMo2As, from Alexandria via LeMat-Bulk.

a b c (Å): 5.1256 2.8381 5.0904
angles (deg): 88.26 90.00 90.00
Fractional coordinates of all 4 atoms:
1 As 0.5000 0.2500 0.2500
2 Ca 0.5000 0.7500 0.7500
3 Mo 0.0000 0.3469 0.4932
4 Mo 0.0000 0.1531 0.0068

Summary:
ΔH_f (0 K) (eV/atom): 0.34
M_tot (μB/cell): 0.0


19.
The following is a PBE calculation of a relaxed structure of CaMoAs2, from Alexandria via LeMat-Bulk.

a b c (Å): 4.7037 4.7037 4.7037
angles (deg): 60.00 60.00 60.00
Each line ends with the local moment (μB).
Fractional coordinates of all 4 atoms:
1 As 0.2500 0.2500 0.2500  -0.01
2 As 0.7500 0.7500 0.7500  -0.01
3 Ca 0.0000 0.0000 0.0000  0.00
4 Mo 0.5000 0.5000 0.5000  0.24

Summary:
ΔH_f (0 K) (eV/atom): -0.20
ΔE to the lowest computed polymorph (eV/f.u.): 1.15
M_tot (μB/cell): 0.3


20.
The following is a PBE calculation of a relaxed structure of CaMoAs2, from Alexandria via LeMat-Bulk.

a b c (Å): 4.7738 4.7738 4.7738
angles (deg): 60.00 60.00 60.00
Each line ends with the local moment (μB).
Fractional coordinates of all 4 atoms:
1 As 0.2500 0.2500 0.2500  -0.11
2 As 0.0000 0.0000 0.0000  -0.09
3 Ca 0.5000 0.5000 0.5000  0.09
4 Mo 0.7500 0.7500 0.7500  1.59

Summary:
ΔH_f (0 K) (eV/atom): 0.40
ΔE to the lowest computed polymorph (eV/f.u.): 3.52
M_tot (μB/cell): 1.7


21.
The following is a PBE calculation of a relaxed structure of CaMoAs2, from Alexandria via LeMat-Bulk.

a b c (Å): 3.9172 3.9182 5.3492
angles (deg): 90.00 90.00 90.00
Each line ends with the local moment (μB).
Fractional coordinates of all 4 atoms:
1 As 0.5000 0.5000 0.3750  -0.02
2 As 0.0000 0.0000 0.8751  -0.04
3 Mo 0.5000 0.5000 0.8749  1.23
4 Ca 0.0000 0.0000 0.3751  0.00

Summary:
ΔH_f (0 K) (eV/atom): -0.18
ΔE to the lowest computed polymorph (eV/f.u.): 1.20
M_tot (μB/cell): 1.3


22.
The following is a PBE calculation of a relaxed structure of CaMo2As, from Alexandria via LeMat-Bulk.

a b c (Å): 4.6236 4.6236 4.6236
angles (deg): 120.21 120.05 89.78
Fractional coordinates of all 4 atoms:
1 Mo 0.2499 0.7499 0.5000
2 Mo 0.0005 0.0005 0.0000
3 As 0.4995 0.4995 0.0000
4 Ca 0.7500 0.2500 0.5000

Summary:
ΔH_f (0 K) (eV/atom): 0.25
M_tot (μB/cell): 0.0


23.
The following is a PBE calculation of a relaxed structure of CaMoAs2, from Alexandria via LeMat-Bulk.

a b c (Å): 4.7171 4.7171 3.4117
angles (deg): 90.00 90.00 98.98
Each line ends with the local moment (μB).
Fractional coordinates of all 4 atoms:
1 As 0.5000 0.5000 0.0000  -0.03
2 As 0.0000 0.0000 0.0000  -0.03
3 Ca 0.5000 0.0000 0.5000  0.01
4 Mo 0.0000 0.5000 0.5000  0.66

Summary:
ΔH_f (0 K) (eV/atom): -0.03
ΔE to the lowest computed polymorph (eV/f.u.): 1.80
M_tot (μB/cell): 0.7


24.
The following is a PBE calculation of a relaxed structure of Ca2MoAs, from Alexandria via LeMat-Bulk.

a b c (Å): 3.0802 3.0802 9.2786
angles (deg): 90.00 90.00 90.00
Fractional coordinates of all 4 atoms:
1 Ca 0.0000 0.0000 0.9915
2 Ca 0.0000 0.0000 0.5085
3 As 0.5000 0.5000 0.7500
4 Mo 0.5000 0.5000 0.2500

Summary:
ΔH_f (0 K) (eV/atom): 0.11
M_tot (μB/cell): 0.0


25.
The following is a PBE calculation of a relaxed structure of CaMoAs, from Alexandria via LeMat-Bulk.

a b c (Å): 3.4912 3.4912 6.1663
angles (deg): 90.00 90.00 120.00
Each line ends with the local moment (μB).
Fractional coordinates of all 3 atoms:
1 As 0.0000 0.0000 0.9634  0.00
2 Ca 0.3333 0.6667 0.3134  0.07
3 Mo 0.6667 0.3333 0.7233  0.61

Summary:
ΔH_f (0 K) (eV/atom): 0.02
M_tot (μB/cell): 1.0


26.
The following is a PBE calculation of a relaxed structure of CaMoAs2, from Alexandria via LeMat-Bulk.

a b c (Å): 7.3380 7.3380 7.3380
angles (deg): 153.60 151.82 39.00
Fractional coordinates of all 4 atoms:
1 As 0.7779 0.2779 0.5000
2 As 0.0686 0.0686 0.0000
3 Ca 0.4503 0.4503 0.0000
4 Mo 0.2032 0.7032 0.5000

Summary:
ΔH_f (0 K) (eV/atom): -0.42
ΔE to the lowest computed polymorph (eV/f.u.): 0.24
M_tot (μB/cell): 0.0


27.
The following is a PBE calculation of a relaxed structure of CaMoAs2, from Alexandria via LeMat-Bulk.

a b c (Å): 4.8481 4.8481 3.3813
angles (deg): 80.47 80.47 98.94
Fractional coordinates of all 4 atoms:
1 As 0.5000 0.5000 0.0000
2 As 0.0000 0.0000 0.0000
3 Ca 0.5000 0.0000 0.5000
4 Mo 0.0000 0.5000 0.5000

Summary:
ΔH_f (0 K) (eV/atom): -0.07
ΔE to the lowest computed polymorph (eV/f.u.): 1.65
M_tot (μB/cell): 0.0


28.
The following is a PBE calculation of a relaxed structure of CaMoAs2, from Alexandria via LeMat-Bulk.

a b c (Å): 5.7264 5.7264 5.7264
angles (deg): 139.32 139.32 58.89
Each line ends with the local moment (μB).
Fractional coordinates of all 4 atoms:
1 As 0.2500 0.7500 0.5000  -0.07
2 As 0.0000 0.0000 0.0000  -0.06
3 Ca 0.5000 0.5000 0.0000  0.04
4 Mo 0.7500 0.2500 0.5000  2.08

Summary:
ΔH_f (0 K) (eV/atom): 0.03
ΔE to the lowest computed polymorph (eV/f.u.): 2.05
M_tot (μB/cell): 2.3


29.
The following is a PBE calculation of a relaxed structure of CaMo2As, from Alexandria via LeMat-Bulk.

a b c (Å): 3.0192 3.0192 8.8164
angles (deg): 90.00 90.00 109.47
Fractional coordinates of all 4 atoms:
1 Ca 0.5000 0.5000 0.7431
2 As 0.0000 0.0000 0.4742
3 Mo 0.0000 0.0000 0.0336
4 Mo 0.5000 0.5000 0.2491

Summary:
ΔH_f (0 K) (eV/atom): 0.25
M_tot (μB/cell): 0.0


30.
The following is a PBE calculation of a relaxed structure of CaMo2As2, from Alexandria via LeMat-Bulk.

a b c (Å): 4.8506 4.8506 5.5170
angles (deg): 63.92 63.92 90.00
Fractional coordinates of all 5 atoms:
1 Mo 0.6264 0.6264 0.7471
2 Mo 0.3736 0.3736 0.2529
3 As 0.2500 0.7500 0.5000
4 As 0.7500 0.2500 0.5000
5 Ca 0.0000 0.0000 0.0000

Summary:
ΔH_f (0 K) (eV/atom): -0.26
ΔE to the lowest computed polymorph (eV/f.u.): 0.77
M_tot (μB/cell): 0.0